First-principles (PBE-GGA) data for Eu3GaF after structural relaxation, as listed in Alexandria via LeMat-Bulk.

Lattice parameters (Å, degrees): 5.0810 5.0810 5.0810 90.00 90.00 90.00
With the nearest neighbours (Å) after each atom.
Space group Pm-3m (No. 221)
Asymmetric unit:
Eu 0.0000 0.0000 0.5000 x3  2 F 2.54
Ga 0.5000 0.5000 0.5000 x1  12 Eu 3.59
F 0.0000 0.0000 0.0000 x1  6 Eu 2.54

Calculated values
Density of states at the Fermi level (states/eV/cell): 3.45
Electronic total energy (eV per atom): -8.314

---

First-principles (PBE-GGA) data for BiIrS2 after structural relaxation, as listed in Alexandria via LeMat-Bulk.

Lattice parameters (Å, degrees): 4.6475 4.6475 3.3509 90.00 90.00 90.00
With the nearest neighbours (Å) after each atom.
Space group P4/mmm (No. 123)
Asymmetric unit:
Bi 0.0000 0.0000 0.0000 x1  8 S 2.86
Ir 0.5000 0.5000 0.0000 x1  8 S 2.86
S 0.0000 0.5000 0.5000 x2  4 Bi 2.86, 4 Ir 2.86

Calculated values
Density of states at the Fermi level (states/eV/cell): 1.61
Electronic total energy (eV per atom): -4.742

---

First-principles (PBE-GGA) data for GeTe3P after structural relaxation, as listed in Alexandria via LeMat-Bulk.

Lattice parameters (Å, degrees): 5.2377 5.2377 5.2377 90.00 90.00 90.00
With the nearest neighbours (Å) after each atom.
Space group Pm-3m (No. 221)
Asymmetric unit:
Ge 0.0000 0.0000 0.0000 x1  12 Te 3.70
Te 0.0000 0.5000 0.5000 x3  2 P 2.62
P 0.5000 0.5000 0.5000 x1  6 Te 2.62

Calculated values
Energy above the lowest structure with this stoichiometry (kJ per mole of atoms): 0.0
Density of states at the Fermi level (states/eV/cell): 3.79
Electronic total energy (eV per atom): -3.366

---

First-principles (PBE-GGA) data for Nd2Sm3Dy6Mg after structural relaxation, as listed in Alexandria via LeMat-Bulk.

Lattice parameters (Å, degrees): 6.1679 10.6891 11.8248 90.00 100.06 90.00
With the nearest neighbours (Å) after each atom.
Space group C2/m (No. 12)
Asymmetric unit:
Nd 0.0000 0.1664 0.0000 x4  3 Nd 3.56, 6 Dy 3.56-3.57, 3 Mg 3.56-3.57
Sm 0.0000 0.0000 0.5000 x2  6 Sm 3.56-3.57, 6 Dy 3.57
Sm 0.0000 0.3341 0.5000 x4  6 Sm 3.55-3.57, 6 Dy 3.55-3.58
Dy 0.2484 0.3343 0.2492 x8  6 Dy 3.54-3.57, 1 Mg 3.55, 2 Nd 3.56, 3 Sm 3.57-3.58
Dy 0.2487 0.5000 0.7498 x4  6 Dy 3.54-3.57, 3 Sm 3.55-3.57, 1 Mg 3.56, 2 Nd 3.57
Mg 0.0000 0.5000 0.0000 x2  6 Dy 3.55-3.56, 6 Nd 3.56-3.57

Calculated values
Density of states at the Fermi level (states/eV/cell): 35.29
Electronic total energy (eV per atom): -4.388
Energy relative to the elements (meV per atom): 21

---

First-principles (PBE-GGA) data for Sr2Li3Al12Cu after structural relaxation, as listed in Alexandria via LeMat-Bulk.

Lattice parameters (Å, degrees): 6.7309 6.7309 29.0370 90.00 90.00 120.00
With the nearest neighbours (Å) after each atom.
Space group R-3m (No. 166, hexagonal axes)
Asymmetric unit:
Sr 0.0000 0.0000 0.1488 x6  6 Al 3.29-3.43
Li 0.0000 0.5000 0.0000 x9  6 Al 2.59-2.83
Al 0.0600 0.5300 0.0967 x18  1 Cu 2.58, 4 Al 2.70-2.76, 1 Li 2.83
Al 0.0684 0.5342 0.6179 x18  2 Li 2.59, 4 Al 2.67-2.70
Cu 0.0000 0.0000 0.5000 x3  6 Al 2.58

Calculated values
Density of states at the Fermi level (states/eV/cell): 22.46
Electronic total energy (eV per atom): -3.187
Energy relative to the elements (meV per atom): 42

---

First-principles (PBE-GGA) data for TbPm6Ho after structural relaxation, as listed in Alexandria via LeMat-Bulk.

Lattice parameters (Å, degrees): 5.1216 5.1216 10.2428 90.00 90.00 90.00
With the nearest neighbours (Å) after each atom.
Space group P4/mmm (No. 123)
Asymmetric unit:
Tb 0.0000 0.0000 0.0000 x1  12 Pm 3.62
Pm 0.0000 0.5000 0.2505 x4  8 Pm 3.62, 2 Ho 3.62, 2 Tb 3.62
Pm 0.5000 0.5000 0.0000 x1  4 Tb 3.62, 8 Pm 3.62
Pm 0.5000 0.5000 0.5000 x1  8 Pm 3.62, 4 Ho 3.62
Ho 0.0000 0.0000 0.5000 x1  12 Pm 3.62

Calculated values
Density of states at the Fermi level (states/eV/cell): 12.92
Electronic total energy (eV per atom): -4.698
Energy relative to the elements (meV per atom): 16

---

First-principles (PBE-GGA) data for K2RbNaSe after structural relaxation, as listed in Alexandria via LeMat-Bulk.

Lattice parameters (Å, degrees): 6.9238 6.9238 5.3637 90.00 90.00 90.00
With the nearest neighbours (Å) after each atom.
Space group P4/mmm (No. 123)
Asymmetric unit:
K 0.0000 0.5000 0.0000 x2  2 Na 3.46
Rb 0.0000 0.0000 0.5000 x1  8 K 4.38, 4 Se 4.90
Na 0.5000 0.5000 0.0000 x1  2 Se 2.68
Se 0.5000 0.5000 0.5000 x1  2 Na 2.68

Calculated values
Energy above the lowest structure with this stoichiometry (kJ per mole of atoms): 24.9
Density of states at the Fermi level (states/eV/cell): 1.61
Electronic total energy (eV per atom): -1.902

---

First-principles (PBE-GGA) data for BeAs3Pb after structural relaxation, as listed in Alexandria via LeMat-Bulk.

Lattice parameters (Å, degrees): 5.3905 5.3905 5.3905 90.00 90.00 90.00
With the nearest neighbours (Å) after each atom.
Space group Pm-3m (No. 221)
Asymmetric unit:
Be 0.0000 0.0000 0.0000 x1  12 As 3.81
As 0.0000 0.5000 0.5000 x3  2 Pb 2.70
Pb 0.5000 0.5000 0.5000 x1  6 As 2.70

Calculated values
Energy above the lowest structure with this stoichiometry (kJ per mole of atoms): 121.3
Density of states at the Fermi level (states/eV/cell): 8.03
Electronic total energy (eV per atom): -2.643
Energy relative to the elements (meV per atom): 1634

---

First-principles (PBE-GGA) data for TcAsRh4 after structural relaxation, as listed in Alexandria via LeMat-Bulk.

Lattice parameters (Å, degrees): 7.2414 7.2414 7.2414 90.00 90.00 90.00
With the nearest neighbours (Å) after each atom.
Space group F-43m (No. 216)
Asymmetric unit:
Tc 0.0000 0.0000 0.0000 x4  12 Rh 3.00, 4 As 3.14
As 0.2500 0.2500 0.7500 x4  12 Rh 3.00, 4 Tc 3.14
Rh 0.1254 0.1254 0.3746 x16  6 Rh 2.55-2.57

Calculated values
Density of states at the Fermi level (states/eV/cell): 33.90
Electronic total energy (eV per atom): -6.902
Energy relative to the elements (meV per atom): 502

---

First-principles (PBE-GGA) data for CoAg2Br after structural relaxation, as listed in Alexandria via LeMat-Bulk.

Lattice parameters (Å, degrees): 6.6448 6.6448 6.6448 90.00 90.00 90.00
With the nearest neighbours (Å) after each atom.
Space group F-43m (No. 216)
Asymmetric unit:
Co 0.0000 0.0000 0.0000 x4  4 Br 2.88, 4 Ag 2.88
Ag 0.0000 0.0000 0.5000 x4  4 Ag 2.88, 4 Br 2.88
Ag 0.2500 0.2500 0.7500 x4  4 Co 2.88, 4 Ag 2.88
Br 0.2500 0.2500 0.2500 x4  4 Co 2.88, 4 Ag 2.88

Calculated values
Energy above the lowest structure with this stoichiometry (kJ per mole of atoms): 35.1
Density of states at the Fermi level (states/eV/cell): 22.65
Electronic total energy (eV per atom): -2.981

---

First-principles (PBE-GGA) data for La3Nd3Ga2Hg after structural relaxation, as listed in Alexandria via LeMat-Bulk.

Lattice parameters (Å, degrees): 8.9823 8.9823 3.8590 90.00 90.00 120.00
With the nearest neighbours (Å) after each atom.
Space group P-62m (No. 189)
Asymmetric unit:
La 0.0000 0.7153 0.0000 x3  2 Hg 3.20, 2 Ga 3.23, 2 Nd 3.45
Nd 0.0000 0.3976 0.5000 x3  4 Ga 3.36, 6 La 3.45-3.73, 1 Hg 3.57
Ga 0.3333 0.6667 0.0000 x2  3 La 3.23, 6 Nd 3.36
Hg 0.0000 0.0000 0.5000 x1  6 La 3.20, 3 Nd 3.57

Calculated values
Density of states at the Fermi level (states/eV/cell): 9.68
Electronic total energy (eV per atom): -4.271
Energy relative to the elements (meV per atom): -333

---

First-principles (PBE-GGA) data for HRuRh2 after structural relaxation, as listed in Alexandria via LeMat-Bulk.

Lattice parameters (Å, degrees): 2.7499 2.7499 20.4243 90.00 90.00 120.00
With the nearest neighbours (Å) after each atom.
Space group R3m (No. 160, hexagonal axes)
Asymmetric unit:
H 0.0000 0.0000 0.0000 x3  6 Rh 2.00-2.01
Ru 0.0000 0.0000 0.1658 x3  6 Rh 2.68-2.70, 6 Ru 2.75
Rh 0.0000 0.0000 0.3932 x3  3 H 2.00
Rh 0.0000 0.0000 0.6060 x3  3 H 2.01

Calculated values
Energy above the lowest structure with this stoichiometry (kJ per mole of atoms): 0.4
Density of states at the Fermi level (states/eV/cell): 9.78
Electronic total energy (eV per atom): -6.785